[1]
Below is crystalline SrAl2As at its relaxed geometry, with properties calculated at the PBE level.

The structure belongs to space group Immm (No. 71); the cell edges are 3.5859, 5.0448 and 10.4584 Å and the angles 90.00°, 90.00° and 90.00°. The asymmetric unit holds Sr at (0.0000, 0.0000, 0.0000), Al at (0.0000, 0.5000, 0.2061) and As at (0.0000, 0.0000, 0.5000).

The electronic total energy is -3.666 eV/atom. The density is 3.8 g/cm3. The calculation puts the total magnetization at 0.0 μB per cell.

[2]
Below is crystalline CdTe at its relaxed geometry, with properties calculated at the PBE level.

The structure belongs to space group P6_3mc (No. 186); the cell edges are 4.6715, 4.6715 and 7.6611 Å and the angles 90.00°, 90.00° and 120.00°. The asymmetric unit holds Cd at (0.3333, 0.6667, 0.0000) and Te at (0.3333, 0.6667, 0.3744).

The density is 5.5 g/cm3. The uncorrected formation energy is -44 kJ per mole of atoms. The calculation puts the total magnetization at 0.0 μB per cell.

[3]
Below is crystalline HoCo2Si2 at its relaxed geometry, with properties calculated at the PBE level.

The structure belongs to space group I4/mmm (No. 139); the cell edges are 3.8657, 3.8657 and 9.7475 Å and the angles 90.00°, 90.00° and 90.00°. The asymmetric unit holds Ho at (0.0000, 0.0000, 0.0000), Co at (0.0000, 0.5000, 0.2500) and Si at (0.0000, 0.0000, 0.3724).

The density is 7.7 g/cm3. The uncorrected formation energy is -80 kJ per mole of atoms. The calculation puts the total magnetization at 0.0 μB per cell.

[4]
Below is crystalline LiSmYGa at its relaxed geometry, with properties calculated at the PBE level.

The structure belongs to space group F-43m (No. 216); the cell edges are 7.2929, 7.2929 and 7.2929 Å and the angles 90.00°, 90.00° and 90.00°. The asymmetric unit holds Li at (0.0000, 0.0000, 0.0000), Sm at (0.2500, 0.2500, 0.2500), Y at (0.2500, 0.2500, 0.7500) and Ga at (0.0000, 0.0000, 0.5000).

The electronic total energy is -4.354 eV/atom. The density is 5.4 g/cm3. The calculation puts the total magnetization at 0.0 μB per cell.

[5]
Below is crystalline YTc2Rh at its relaxed geometry, with properties calculated at the PBE level.

The structure belongs to space group P4/mmm (No. 123); the cell edges are 2.8132, 2.8132 and 8.5982 Å and the angles 90.00°, 90.00° and 90.00°. The asymmetric unit holds Y at (0.0000, 0.0000, 0.0000), Tc at (0.5000, 0.5000, 0.2829) and Rh at (0.0000, 0.0000, 0.5000).

The density is 9.5 g/cm3. The calculation puts the distance to the lowest polymorph of the same formula at 300 meV/atom. The calculation puts the total magnetization at 0.0 μB per cell.

[6]
Below is crystalline Y2HfSi at its relaxed geometry, with properties calculated at the PBE level.

The structure belongs to space group Fm-3m (No. 225); the cell edges are 7.2584, 7.2584 and 7.2584 Å and the angles 90.00°, 90.00° and 90.00°. The asymmetric unit holds Y at (0.2500, 0.2500, 0.2500), Hf at (0.0000, 0.0000, 0.0000) and Si at (0.0000, 0.0000, 0.5000).

The density is 6.7 g/cm3. The uncorrected formation energy is 7 kJ per mole of atoms. The calculation puts the distance to the lowest polymorph of the same formula at 0 meV/atom. The calculation puts the total magnetization at 9.5 μB per cell.

Q: Number 6 is which compound?
A: Y2HfSi